NaIn2Bi2 after structural relaxation. Source: Alexandria via LeMat-Bulk, functional PBE.

```
10
Lattice="5.598 0.000 0.000 0.000 5.598 0.000 0.000 0.000 10.885" Properties=species:S:1:pos:R:3 pbc="T T T"
Na 0.000 0.000 0.000
Na 2.799 2.799 5.442
In 0.000 0.000 4.036
In 0.000 0.000 6.849
In 2.799 2.799 1.407
In 2.799 2.799 9.478
Bi 0.000 2.799 2.721
Bi 0.000 2.799 8.163
Bi 2.799 0.000 2.721
Bi 2.799 0.000 8.163
```

Calculated values
Distance to the lowest polymorph of the same formula (kJ/mol of atoms): 5.6
DOS at the Fermi energy (states/eV/f.u.): 2.920
ΔH_f (0 K) (eV/f.u.): -0.151
DFT total energy (eV/atom): -2.942